(1)
# AcHoBi2 GGA-PBE relaxed
data_AcHoBi2
_symmetry_space_group_name_H-M 'P 4/m m m'
_symmetry_Int_Tables_number 123
_symmetry_space_group_name_Hall '-P 4 2'
_cell_length_a 6.058
_cell_length_b 6.058
_cell_length_c 3.560
_cell_angle_alpha 90.00
_cell_angle_beta 90.00
_cell_angle_gamma 90.00
loop_
_atom_site_label
_atom_site_fract_x
_atom_site_fract_y
_atom_site_fract_z
Ac1 0.000 0.000 0.000
Ho1 0.500 0.500 0.000
Bi1 0.000 0.500 0.500
# * DFT formation energy: -641 meV per atom
# * excess energy over the best structure of this formula in the dataset: 261 meV/atom
# * crystal system: tetragonal

=====

(2)
# AcHoBi2 GGA-PBE relaxed
data_AcHoBi2
_symmetry_space_group_name_H-M 'R -3 m'
_symmetry_Int_Tables_number 166
_symmetry_space_group_name_Hall '-R 3 2"'
_cell_length_a 3.9981
_cell_length_b 3.9981
_cell_length_c 33.4085
_cell_angle_alpha 90.00
_cell_angle_beta 90.00
_cell_angle_gamma 120.00
loop_
_atom_site_label
_atom_site_fract_x
_atom_site_fract_y
_atom_site_fract_z
Ac1 0.0000 0.0000 0.0000
Ho1 0.0000 0.0000 0.5000
Bi1 0.0000 0.0000 0.1002
# * DFT formation energy: -184 meV per atom
# * excess energy over the best structure of this formula in the dataset: 718 meV/atom
# * crystal system: trigonal

=====

(3)
# Ac2LaHoBi4 GGA-PBE relaxed
data_Ac2LaHoBi4
_symmetry_space_group_name_H-M 'P 1 2/m 1'
_symmetry_Int_Tables_number 10
_symmetry_space_group_name_Hall '-P 2y'
_cell_length_a 8.198
_cell_length_b 4.741
_cell_length_c 8.202
_cell_angle_alpha 90.00
_cell_angle_beta 109.47
_cell_angle_gamma 90.00
loop_
_atom_site_label
_atom_site_fract_x
_atom_site_fract_y
_atom_site_fract_z
Ac1 0.000 0.000 0.000
Ac2 0.500 0.500 0.000
La1 0.000 0.500 0.500
Ho1 0.500 0.000 0.500
Bi1 0.251 0.000 0.735
Bi2 0.263 0.500 0.269
# * DFT formation energy: -957 meV per atom
# * crystal system: monoclinic

=====

(4)
# LiAcHoBi GGA-PBE relaxed
data_LiAcHoBi
_symmetry_space_group_name_H-M 'F -4 3 m'
_symmetry_Int_Tables_number 216
_symmetry_space_group_name_Hall 'F -4 2 3'
_cell_length_a 7.892
_cell_length_b 7.892
_cell_length_c 7.892
_cell_angle_alpha 90.00
_cell_angle_beta 90.00
_cell_angle_gamma 90.00
loop_
_atom_site_label
_atom_site_fract_x
_atom_site_fract_y
_atom_site_fract_z
Li1 0.000 0.000 0.000
Ac1 0.250 0.250 0.750
Ho1 0.250 0.250 0.250
Bi1 0.000 0.000 0.500
# * DFT formation energy: -259 meV per atom
# * crystal system: cubic

=====

(5)
# Li3Ac2HoBi4 GGA-PBE relaxed
data_Li3Ac2HoBi4
_symmetry_space_group_name_H-M 'P -4 m 2'
_symmetry_Int_Tables_number 115
_symmetry_space_group_name_Hall 'P -4 -2'
_cell_length_a 4.890
_cell_length_b 4.890
_cell_length_c 12.105
_cell_angle_alpha 90.00
_cell_angle_beta 90.00
_cell_angle_gamma 90.00
loop_
_atom_site_label
_atom_site_fract_x
_atom_site_fract_y
_atom_site_fract_z
Li1 0.000 0.000 0.000
Li2 0.000 0.500 0.615
Ac1 0.000 0.500 0.274
Ho1 0.500 0.500 0.000
Bi1 0.000 0.000 0.500
Bi2 0.000 0.500 0.840
Bi3 0.500 0.500 0.500
# * DFT formation energy: -614 meV per atom
# * crystal system: tetragonal

=====

(6)
# AcNdHo2Bi4 GGA-PBE relaxed
data_AcNdHo2Bi4
_symmetry_space_group_name_H-M 'P 1 2/m 1'
_symmetry_Int_Tables_number 10
_symmetry_space_group_name_Hall '-P 2y'
_cell_length_a 7.965
_cell_length_b 4.613
_cell_length_c 7.988
_cell_angle_alpha 90.00
_cell_angle_beta 109.49
_cell_angle_gamma 90.00
loop_
_atom_site_label
_atom_site_fract_x
_atom_site_fract_y
_atom_site_fract_z
Ac1 0.000 0.000 0.000
Nd1 0.000 0.500 0.500
Ho1 0.500 0.000 0.500
Ho2 0.500 0.500 0.000
Bi1 0.265 0.000 0.749
Bi2 0.270 0.500 0.263
# * DFT formation energy: -887 meV per atom
# * crystal system: monoclinic